PmUN2 | PBE | optimized geometry

Summary:
The excess energy over the best structure of this formula in the dataset comes out at 30 meV per atom. The value obtained for the uncorrected formation energy is -1.386 eV per atom. As for the space group: P6_3/mmc (194).

```
PmUN2
1.0
3.504 0.000 0.000
-1.752 3.035 0.000
0.000 0.000 11.645
Pm U N
2 2 4
Direct
0.667 0.333 0.250
0.333 0.667 0.750
0.000 0.000 0.500
0.000 0.000 0.000
0.333 0.667 0.393
0.667 0.333 0.893
0.667 0.333 0.607
0.333 0.667 0.107
```